1.
26
Lattice="-7.373 5.311 -1.652 -8.935 -5.034 -2.123 -7.724 -0.072 8.425" Properties=species:S:1:pos:R:3 comment="YSn3Cl9 GGA-PBE optimized geometry" final_energy_ev_per_cell=-105.497 crystal_system=monoclinic space_group="Cc, No. 9" pbc="T T T"
Cl -15.293 -0.492 -0.370
Cl -10.288 -1.180 5.890
Cl -13.181 -2.792 1.277
Cl -8.056 3.724 -1.230
Cl -9.496 2.882 2.698
Cl -18.593 0.882 5.677
Cl -13.488 1.520 2.900
Cl -11.603 3.794 -0.402
Cl -6.964 0.832 1.252
Cl -7.186 -2.608 -0.441
Cl -11.082 -3.131 -1.698
Cl -7.063 0.221 4.725
Cl -12.430 3.831 5.836
Cl -13.450 0.319 6.355
Cl -13.384 -3.096 4.830
Cl -17.094 1.681 1.762
Cl -16.292 -1.382 3.565
Cl -10.088 -0.773 1.223
Sn -7.711 -1.589 2.010
Sn -15.619 -4.446 5.255
Sn -12.111 -1.135 -0.479
Sn -9.268 4.872 0.625
Sn -11.720 1.502 4.747
Sn -16.237 1.339 4.081
Y -12.395 -2.067 7.085
Y -15.870 -2.482 1.168

2.
3
Lattice="7.417 -0.011 0.009 6.755 2.744 -0.009 0.662 -0.496 2.711" Properties=species:S:1:pos:R:3 comment="MgCdMo GGA-PBE optimized geometry" delta_e_f_ev_per_atom=0.2806 crystal_system=orthorhombic space_group="Fmm2, No. 42" e_above_lowest_polymorph_kj_per_mol_fu=0 pbc="T T T"
Mo 5.121 0.570 1.816
Cd 14.111 2.718 0.013
Mg 9.775 1.682 0.883

3.
15
Lattice="5.912 0.000 0.000 -2.956 5.120 0.000 0.000 0.000 8.643" Properties=species:S:1:pos:R:3 comment="Sm3NpB2Rh9 GGA-PBE optimized geometry" delta_e_f_ev_per_atom=-0.5405 crystal_system=trigonal space_group="P-3m1, No. 164" pbc="T T T"
Rh -1.497 4.278 2.445
Rh 1.497 4.278 2.445
Rh 2.956 3.436 6.198
Rh 4.453 0.842 6.198
Rh 1.459 0.842 6.198
Rh 1.478 2.560 0.000
Rh -1.478 2.560 0.000
Rh 2.956 0.000 0.000
Rh 0.000 1.684 2.445
Np 0.000 0.000 4.321
B 0.000 3.413 1.237
B 2.956 1.707 7.405
Sm 0.000 3.413 5.684
Sm 2.956 1.707 2.959
Sm 0.000 0.000 0.000

4.
5
Lattice="-0.379 2.416 2.583 0.845 -2.461 2.425 5.201 1.239 2.053" Properties=species:S:1:pos:R:3 comment="Be2Mo2Os GGA-PBE optimized geometry" delta_e_f_ev_per_atom=0.4585 crystal_system=tetragonal space_group="I4/mmm, No. 139" e_above_lowest_polymorph_kj_per_mol_fu=304 pbc="T T T"
Os 0.000 0.000 0.000
Be 1.131 0.206 2.423
Be 4.536 0.988 4.639
Mo 3.139 -0.622 3.491
Mo 2.528 1.816 3.570

5.
4
Lattice="-0.128 -0.613 3.021 -2.851 -1.126 -0.350 2.316 -5.545 -1.026" Properties=species:S:1:pos:R:3 comment="CrTc2W GGA-PBE optimized geometry" delta_e_f_ev_per_atom=0.0713 crystal_system=tetragonal space_group="P4/mmm, No. 123" pbc="T T T"
Tc 1.173 -2.808 -0.520
Tc 2.301 -5.510 -1.019
Cr 0.247 -5.028 0.566
W -0.911 -2.256 1.079

6.
12
Lattice="-2.881 -2.914 3.023 -2.143 -4.237 -1.839 4.853 -6.607 2.534" Properties=species:S:1:pos:R:3 comment="HoPa2Mn9 GGA-PBE optimized geometry" delta_e_f_ev_per_atom=-0.0198 crystal_system=trigonal space_group="R-3m, No. 166" pbc="T T T"
Mn -1.668 -2.388 0.397
Mn 1.497 -11.369 3.321
Mn -0.913 -4.622 1.119
Mn 0.743 -9.135 2.599
Mn -1.976 -6.722 0.208
Mn 1.805 -7.034 3.510
Mn -0.085 -6.878 1.859
Mn -2.341 -6.067 2.617
Mn 2.171 -7.690 1.101
Pa -2.228 -8.959 2.100
Pa 2.057 -4.798 1.618
Ho 0.000 0.000 0.000

7.
4
Lattice="-4.540 0.429 1.273 -2.889 2.837 -2.455 -3.406 -1.863 -2.711" Properties=species:S:1:pos:R:3 comment="LaV2Te GGA-PBE optimized geometry" crystal_system=cubic space_group="Fm-3m, No. 225" e_above_lowest_polymorph_kj_per_mol_fu=0 pbc="T T T"
V -8.126 1.052 -2.920
V -2.709 0.351 -0.973
Te 0.000 0.000 0.000
La -5.418 0.701 -1.946

8.
22
Lattice="-0.973 -4.932 -3.364 1.464 -3.498 4.705 -10.177 -3.525 8.112" Properties=species:S:1:pos:R:3 comment="Rh3Se8 GGA-PBE optimized geometry" crystal_system=monoclinic space_group="P2_1/c, No. 14" e_above_lowest_polymorph_kj_per_mol_fu=7 pbc="T T T"
Se -2.365 -5.867 5.009
Se -9.168 -8.685 8.746
Se -5.335 -3.656 5.701
Se -1.544 -6.175 2.707
Se -0.518 -3.269 0.707
Se 0.521 -3.674 3.937
Se -4.351 -8.298 3.752
Se -7.174 -6.217 10.028
Se -6.877 -9.174 5.920
Se -4.821 -6.724 7.114
Se -10.208 -8.280 5.516
Se -4.865 -5.230 2.339
Se -8.142 -5.779 6.746
Se -2.810 -2.780 3.533
Se -2.512 -5.738 -0.575
Se -7.322 -6.088 4.444
Rh -2.703 -4.277 1.445
Rh -6.983 -7.677 8.008
Rh -5.088 -1.762 4.056
Rh -0.487 -2.466 -1.682
Rh -8.248 -8.351 3.924
Rh -1.438 -3.603 5.529

9.
4
Lattice="-0.067 3.166 -4.431 -4.950 0.650 -2.176 2.848 0.750 4.581" Properties=species:S:1:pos:R:3 comment="SiHgAu2 GGA-PBE optimized geometry" crystal_system=orthorhombic space_group="Imm2, No. 44" e_above_lowest_polymorph_kj_per_mol_fu=69 pbc="T T T"
Si -2.191 1.567 -0.299
Au -0.110 0.084 -0.145
Au 0.067 2.964 -1.667
Hg -2.444 1.858 -3.218

10.
10
Lattice="-2.508 2.032 1.545 -1.987 -0.508 -2.558 -3.933 -8.455 4.733" Properties=species:S:1:pos:R:3 comment="MnNbCoHSe GGA-PBE optimized geometry" crystal_system=orthorhombic space_group="Amm2, No. 38" e_above_lowest_polymorph_kj_per_mol_fu=0 pbc="T T T"
Nb -2.278 -1.185 2.005
Nb -5.238 -5.666 3.092
Mn -2.616 -3.742 0.674
Mn -3.589 -7.716 4.320
H -5.070 -7.187 5.365
H -4.097 -3.214 1.720
Co -3.283 -3.347 3.215
Co -2.310 0.627 -0.431
Se -2.575 -5.535 3.099
Se -1.602 -1.562 -0.547

11.
6
Lattice="0.000 5.285 5.285 5.285 0.000 5.285 5.285 5.285 0.000" Properties=species:S:1:pos:R:3 comment="Ba4LiBe GGA-PBE optimized geometry" delta_e_f_ev_per_atom=0.8077 crystal_system=cubic space_group="F-43m, No. 216" pbc="T T T"
Ba 3.972 6.597 6.597
Ba 6.597 6.597 3.972
Ba 3.972 3.972 3.972
Ba 6.597 3.972 6.597
Be 7.927 7.927 7.927
Li 0.000 0.000 0.000

12.
16
Lattice="7.750 -0.009 0.000 0.024 7.750 0.000 0.000 0.000 10.452" Properties=species:S:1:pos:R:3 comment="BaNa14Ca GGA-PBE optimized geometry" delta_e_f_ev_per_atom=0.0375 crystal_system=orthorhombic space_group="Cmmm, No. 65" pbc="T T T"
Na 2.927 6.778 0.000
Na 6.791 2.898 0.000
Na 1.035 1.030 8.015
Na 4.782 1.028 8.015
Na 1.035 1.030 2.437
Na 2.927 6.778 5.226
Na 1.049 4.778 8.015
Na 4.782 1.028 2.437
Na 4.796 4.776 8.015
Na 6.803 6.774 0.000
Na 4.796 4.776 2.437
Na 2.915 2.903 0.000
Na 1.049 4.778 2.437
Na 6.791 2.898 5.226
Ca 2.915 2.903 5.226
Ba 6.803 6.774 5.226

13.
4
Lattice="-3.149 2.106 2.138 -0.436 -3.387 2.695 2.970 1.737 2.663" Properties=species:S:1:pos:R:3 comment="Cd3Au GGA-PBE optimized geometry" delta_e_f_ev_per_atom=-0.0850 crystal_system=cubic space_group="Pm-3m, No. 221" pbc="T T T"
Cd 1.267 -0.825 2.679
Cd -0.090 1.922 2.400
Cd -1.793 -0.640 2.417
Au 0.000 0.000 0.000

14.
8
Lattice="4.897 0.000 0.000 0.000 4.897 0.000 2.449 2.449 9.546" Properties=species:S:1:pos:R:3 comment="LaYSi2 GGA-PBE optimized geometry" crystal_system=tetragonal space_group="I-42d, No. 122" e_above_lowest_polymorph_kj_per_mol_fu=312 pbc="T T T"
Y 2.449 2.449 0.000
Y 2.449 4.897 4.773
Si 3.019 1.224 2.386
Si 1.878 3.673 2.386
Si 6.122 5.468 7.159
Si 3.673 4.327 7.159
La 0.000 0.000 0.000
La 4.897 2.449 4.773

Number 1: DOS(E_F) 0.00 states/eV per atom. Number 2: DOS(E_F) 0.41 states/eV per atom. Number 3: DOS(E_F) 1.04 states/eV per atom. Number 4: DOS(E_F) 0.70 states/eV per atom. Number 5: DOS(E_F) 1.27 states/eV per atom. Number 6: DOS(E_F) 1.49 states/eV per atom. Number 7: DOS(E_F) 1.21 states/eV per atom. Number 8: DOS(E_F) 0.34 states/eV per atom. Number 9: DOS(E_F) 0.31 states/eV per atom. Number 10: DOS(E_F) 0.61 states/eV per atom. Number 11: DOS(E_F) 1.98 states/eV per atom. Number 12: DOS(E_F) 0.62 states/eV per atom. Number 13: DOS(E_F) 0.31 states/eV per atom. Number 14: DOS(E_F) 0.75 states/eV per atom.